Entry 1:
Compound: LaWSeN2
Source: the Alexandria database
Functional: PBEsol
Structure: relaxed

Cell lengths 4.048, 4.048, 4.928 Å; angles 90.00, 90.00, 90.00 degrees
Fractional coordinates of all 5 atoms:
N 0.000 0.500 0.000
N 0.500 0.000 0.000
Se 0.000 0.000 0.500
W 0.000 0.000 0.000
La 0.500 0.500 0.500

**ΔE_f (raw)**: -0.688 eV per atom



Entry 2:
Compound: LaZnSeN2
Source: the Alexandria database
Functional: PBEsol
Structure: relaxed

Cell lengths 4.087, 4.087, 6.313 Å; angles 90.00, 90.00, 90.00 degrees
Fractional coordinates of all 5 atoms:
Zn 0.500 0.500 0.500
N 0.000 0.500 0.000
N 0.500 0.000 0.000
Se 0.000 0.000 0.500
La 0.000 0.000 0.000

**ΔE_f (raw)**: 0.683 eV per atom
**Energy above the most stable polymorph in this dataset**: 0.491 eV per atom



Entry 3:
Compound: LaZnSeN2
Source: the Alexandria database
Functional: PBEsol
Structure: relaxed

Cell lengths 4.128, 4.128, 4.682 Å; angles 90.00, 90.00, 90.00 degrees
Fractional coordinates of all 5 atoms:
Zn 0.000 0.000 0.000
N 0.000 0.500 0.000
N 0.500 0.000 0.000
Se 0.000 0.000 0.500
La 0.500 0.500 0.500

**ΔE_f (raw)**: 0.191 eV per atom
**Energy above the most stable polymorph in this dataset**: 0.000 eV per atom



Entry 4:
Compound: La7Sn3N2
Source: the Alexandria database
Functional: PBEsol
Structure: relaxed

Cell lengths 4.926, 5.079, 12.872 Å; angles 78.62, 90.00, 90.00 degrees
Fractional coordinates of all 12 atoms:
N 0.000 0.103 0.793
N 0.000 0.897 0.207
Sn 0.500 0.500 0.000
Sn 0.500 0.308 0.384
Sn 0.500 0.692 0.616
La 0.000 0.602 0.796
La 0.000 0.202 0.597
La 0.000 0.000 0.000
La 0.000 0.398 0.204
La 0.500 0.904 0.191
La 0.500 0.096 0.809
La 0.000 0.798 0.403

**ΔE_f (raw)**: -1.009 eV per atom



Entry 5:
Compound: LaSnTeN2
Source: the Alexandria database
Functional: PBEsol
Structure: relaxed

Cell lengths 4.325, 4.325, 5.588 Å; angles 90.00, 90.00, 90.00 degrees
Fractional coordinates of all 5 atoms:
N 0.000 0.500 0.000
N 0.500 0.000 0.000
Te 0.000 0.000 0.500
Sn 0.000 0.000 0.000
La 0.500 0.500 0.500

**ΔE_f (raw)**: 0.344 eV per atom



Entry 6:
Compound: Sr2La2N
Source: the Alexandria database
Functional: PBEsol
Structure: relaxed

Cell lengths 3.861, 3.861, 10.174 Å; angles 100.94, 100.94, 90.00 degrees
Fractional coordinates of all 5 atoms:
Sr 0.250 0.750 0.500
Sr 0.750 0.250 0.500
N 0.000 0.000 0.000
La 0.426 0.426 0.852
La 0.574 0.574 0.148

**ΔE_f (raw)**: 0.908 eV per atom



Entry 7:
Compound: LaTaN3
Source: the Alexandria database
Functional: PBEsol
Structure: relaxed

Cell lengths 5.683, 7.041, 7.051 Å; angles 108.26, 90.00, 90.00 degrees
Fractional coordinates of all 20 atoms:
La 0.248 0.618 0.380
La 0.752 0.382 0.620
La 0.252 0.118 0.880
La 0.748 0.882 0.120
Ta 0.728 0.367 0.137
Ta 0.228 0.133 0.363
Ta 0.272 0.633 0.863
Ta 0.772 0.867 0.637
N 0.244 0.364 0.637
N 0.256 0.864 0.137
N 0.539 0.223 0.285
N 0.039 0.277 0.215
N 0.461 0.777 0.715
N 0.756 0.636 0.363
N 0.901 0.041 0.461
N 0.099 0.959 0.539
N 0.744 0.136 0.863
N 0.961 0.723 0.785
N 0.599 0.541 0.961
N 0.401 0.459 0.039

**ΔE_f (raw)**: -1.318 eV per atom



Entry 8:
Compound: LaTaTeN2
Source: the Alexandria database
Functional: PBEsol
Structure: relaxed

Cell lengths 4.209, 4.209, 5.356 Å; angles 90.00, 90.00, 90.00 degrees
Fractional coordinates of all 5 atoms:
N 0.000 0.500 0.000
N 0.500 0.000 0.000
La 0.500 0.500 0.500
Te 0.000 0.000 0.500
Ta 0.000 0.000 0.000

**ΔE_f (raw)**: -0.489 eV per atom
**Energy above the most stable polymorph in this dataset**: 0.000 eV per atom



Question: Look up the ΔE_f (raw) of the first one.
Answer: -0.688 eV per atom



Question: Among the records above, which one has the highest ΔE_f (raw)?
Answer: Sr2La2N



Question: Number 5 is which compound?
Answer: LaSnTeN2



Question: Which of these has the highest ΔE_f (raw)?
Answer: Sr2La2N